Entry 1:
{
  "formula": "InHg3BiPb",
  "functional": "PBE",
  "state": "relaxed",
  "cell": [[8.760, 0.000, 0.000], [0.000, 3.691, 0.000], [-4.222, 0.000, 10.455]],
  "species": ["In", "In", "Hg", "Hg", "Hg", "Hg", "Hg", "Hg", "Bi", "Bi", "Pb", "Pb"],
  "frac_coords": [[0.024, 0.250, 0.382], [0.976, 0.750, 0.618], [0.296, 0.250, 0.697], [0.341, 0.750, 0.955], [0.345, 0.750, 0.464], [0.655, 0.250, 0.536], [0.659, 0.250, 0.045], [0.704, 0.750, 0.303], [0.007, 0.750, 0.127], [0.993, 0.250, 0.873], [0.360, 0.250, 0.208], [0.640, 0.750, 0.792]],
  "total_energy_ha_per_atom": -0.0674,
  "ef_ev_per_fu": 0.24,
  "spacegroup": "P2_1/m (11)"
}



Entry 2:
{
  "formula": "In2HgBiPb",
  "functional": "PBE",
  "state": "relaxed",
  "cell": [[3.230, -7.694, 0.000], [3.230, 7.694, 0.000], [0.000, 0.000, 6.195]],
  "species": ["In", "In", "In", "In", "Hg", "Hg", "Bi", "Bi", "Pb", "Pb"],
  "frac_coords": [[0.243, 0.243, 0.000], [0.243, 0.243, 0.500], [0.757, 0.757, 0.000], [0.757, 0.757, 0.500], [0.364, 0.636, 0.750], [0.636, 0.364, 0.250], [0.167, 0.833, 0.750], [0.833, 0.167, 0.250], [0.272, 0.728, 0.250], [0.728, 0.272, 0.750]],
  "total_energy_ha_per_atom": -0.0956,
  "ef_ev_per_fu": 0.36,
  "spacegroup": "Cmcm (63)"
}



Entry 3:
{
  "formula": "In2Hg5Bi2Pb2",
  "functional": "PBE",
  "state": "relaxed",
  "cell": [[-2.328, 2.328, 18.544], [2.328, -2.328, 18.544], [2.328, 2.328, -18.544]],
  "species": ["In", "In", "Hg", "Hg", "Hg", "Hg", "Hg", "Bi", "Bi", "Pb", "Pb"],
  "frac_coords": [[0.081, 0.081, 0.000], [0.919, 0.919, 0.000], [0.000, 0.000, 0.000], [0.132, 0.632, 0.500], [0.368, 0.868, 0.500], [0.632, 0.132, 0.500], [0.868, 0.368, 0.500], [0.195, 0.195, 0.000], [0.805, 0.805, 0.000], [0.284, 0.284, 0.000], [0.716, 0.716, 0.000]],
  "total_energy_ha_per_atom": -0.0706,
  "ef_ev_per_fu": 1.02,
  "spacegroup": "I4/mmm (139)"
}



Entry 4:
{
  "formula": "InHgBiPb3",
  "functional": "PBE",
  "state": "relaxed",
  "cell": [[8.312, 0.000, 0.000], [0.000, 4.362, 0.000], [-3.705, 0.000, 10.036]],
  "species": ["In", "In", "Hg", "Hg", "Bi", "Bi", "Pb", "Pb", "Pb", "Pb", "Pb", "Pb"],
  "frac_coords": [[0.009, 0.250, 0.126], [0.991, 0.750, 0.874], [0.003, 0.750, 0.375], [0.997, 0.250, 0.625], [0.349, 0.750, 0.213], [0.651, 0.250, 0.787], [0.322, 0.750, 0.706], [0.326, 0.250, 0.450], [0.327, 0.250, 0.963], [0.673, 0.750, 0.037], [0.674, 0.750, 0.550], [0.678, 0.250, 0.294]],
  "total_energy_ha_per_atom": -0.1099,
  "ef_ev_per_fu": 0.10,
  "spacegroup": "P2_1/m (11)"
}



Entry 5:
{
  "formula": "In2Hg2Bi2Pb",
  "functional": "PBE",
  "state": "relaxed",
  "cell": [[2.796, 1.614, 7.591], [-2.796, 1.614, 7.591], [0.000, -3.229, 7.591]],
  "species": ["In", "In", "Hg", "Hg", "Bi", "Bi", "Pb"],
  "frac_coords": [[0.071, 0.071, 0.071], [0.929, 0.929, 0.929], [0.360, 0.360, 0.360], [0.640, 0.640, 0.640], [0.222, 0.222, 0.222], [0.778, 0.778, 0.778], [0.500, 0.500, 0.500]],
  "total_energy_ha_per_atom": -0.0908,
  "ef_ev_per_fu": 0.26,
  "spacegroup": "R-3m (166)"
}



Entry 6:
{
  "formula": "In2Hg3BiPb3",
  "functional": "PBE",
  "state": "relaxed",
  "cell": [[9.459, 0.000, 0.000], [-4.729, 8.192, 0.000], [0.000, 0.000, 3.372]],
  "species": ["In", "In", "Hg", "Hg", "Hg", "Bi", "Pb", "Pb", "Pb"],
  "frac_coords": [[0.333, 0.667, 0.000], [0.667, 0.333, 0.000], [0.000, 0.361, 0.500], [0.361, 0.000, 0.500], [0.639, 0.639, 0.500], [0.000, 0.000, 0.500], [0.000, 0.684, 0.000], [0.316, 0.316, 0.000], [0.684, 0.000, 0.000]],
  "total_energy_ha_per_atom": -0.0854,
  "ef_ev_per_fu": 0.48,
  "spacegroup": "P-62m (189)"
}



Entry 7:
{
  "formula": "In3Hg3BiPb2",
  "functional": "PBE",
  "state": "relaxed",
  "cell": [[9.485, 0.000, 0.000], [-4.742, 8.214, 0.000], [0.000, 0.000, 3.321]],
  "species": ["In", "In", "In", "Hg", "Hg", "Hg", "Bi", "Pb", "Pb"],
  "frac_coords": [[0.000, 0.692, 0.000], [0.308, 0.308, 0.000], [0.692, 0.000, 0.000], [0.000, 0.355, 0.500], [0.355, 0.000, 0.500], [0.645, 0.645, 0.500], [0.000, 0.000, 0.500], [0.333, 0.667, 0.000], [0.667, 0.333, 0.000]],
  "total_energy_ha_per_atom": -0.0821,
  "ef_ev_per_fu": 0.31,
  "spacegroup": "P-62m (189)"
}



Entry 8:
{
  "formula": "In3Hg2BiPb3",
  "functional": "PBE",
  "state": "relaxed",
  "cell": [[8.699, 0.000, 0.000], [-4.350, 7.534, 0.000], [0.000, 0.000, 4.139]],
  "species": ["In", "In", "In", "Hg", "Hg", "Bi", "Pb", "Pb", "Pb"],
  "frac_coords": [[0.000, 0.389, 0.000], [0.389, 0.000, 0.000], [0.611, 0.611, 0.000], [0.333, 0.667, 0.500], [0.667, 0.333, 0.500], [0.000, 0.000, 0.000], [0.000, 0.707, 0.500], [0.293, 0.293, 0.500], [0.707, 0.000, 0.500]],
  "total_energy_ha_per_atom": -0.0949,
  "ef_ev_per_fu": 0.58,
  "spacegroup": "P-62m (189)"
}



Entry 9:
{
  "formula": "In4Hg2BiPb",
  "functional": "PBE",
  "state": "relaxed",
  "cell": [[6.153, 0.000, 0.000], [0.000, 3.476, 0.000], [-1.997, 0.000, 10.519]],
  "species": ["In", "In", "In", "In", "Hg", "Hg", "Bi", "Pb"],
  "frac_coords": [[0.231, 0.000, 0.248], [0.240, 0.500, 0.742], [0.760, 0.500, 0.258], [0.769, 0.000, 0.752], [0.000, 0.000, 0.500], [0.000, 0.500, 0.000], [0.500, 0.500, 0.500], [0.500, 0.000, 0.000]],
  "total_energy_ha_per_atom": -0.0871,
  "ef_ev_per_fu": 0.19,
  "spacegroup": "P2/m (10)"
}



Entry 10:
{
  "formula": "In4HgBiPb2",
  "functional": "PBE",
  "state": "relaxed",
  "cell": [[5.737, 0.000, 0.000], [0.000, 3.769, 0.000], [-2.767, 0.000, 10.721]],
  "species": ["In", "In", "In", "In", "Hg", "Bi", "Pb", "Pb"],
  "frac_coords": [[0.238, 0.000, 0.238], [0.241, 0.500, 0.757], [0.759, 0.500, 0.243], [0.762, 0.000, 0.762], [0.000, 0.500, 0.000], [0.500, 0.000, 0.000], [0.000, 0.000, 0.500], [0.500, 0.500, 0.500]],
  "total_energy_ha_per_atom": -0.1022,
  "ef_ev_per_fu": 0.30,
  "spacegroup": "P2/m (10)"
}



Entry 11:
{
  "formula": "In4HgBi2Pb",
  "functional": "PBE",
  "state": "relaxed",
  "cell": [[-4.265, 4.631, 6.307], [4.265, -4.631, 6.307], [4.265, 4.631, -6.307]],
  "species": ["In", "In", "In", "In", "In", "In", "In", "In", "Hg", "Hg", "Bi", "Bi", "Bi", "Bi", "Pb", "Pb"],
  "frac_coords": [[0.252, 0.252, 0.500], [0.252, 0.752, 0.000], [0.254, 0.250, 0.004], [0.255, 0.750, 0.504], [0.745, 0.250, 0.496], [0.746, 0.750, 0.996], [0.748, 0.248, 0.000], [0.748, 0.748, 0.500], [0.000, 0.000, 0.000], [0.500, 0.000, 0.500], [0.000, 0.500, 0.500], [0.500, 0.000, 0.000], [0.500, 0.500, 0.000], [0.500, 0.500, 0.500], [0.000, 0.000, 0.500], [0.000, 0.500, 0.000]],
  "total_energy_ha_per_atom": -0.1018,
  "ef_ev_per_fu": 0.58,
  "spacegroup": "Imma (74)"
}



Entry 12:
{
  "formula": "InHg2BiPb2",
  "functional": "PBE",
  "state": "relaxed",
  "cell": [[5.565, 0.000, 0.000], [0.000, 9.620, 0.000], [0.000, 0.000, 6.655]],
  "species": ["In", "In", "Hg", "Hg", "Hg", "Hg", "Bi", "Bi", "Pb", "Pb", "Pb", "Pb"],
  "frac_coords": [[0.000, 0.027, 0.000], [0.000, 0.973, 0.500], [0.000, 0.345, 0.907], [0.000, 0.655, 0.407], [0.500, 0.496, 0.990], [0.500, 0.504, 0.490], [0.500, 0.167, 0.180], [0.500, 0.833, 0.680], [0.000, 0.312, 0.417], [0.000, 0.688, 0.917], [0.500, 0.175, 0.686], [0.500, 0.825, 0.186]],
  "total_energy_ha_per_atom": -0.0890,
  "ef_ev_per_fu": 0.10,
  "spacegroup": "Pmc2_1 (26)"
}